Record 1
The following is a DFT calculation (PBE-GGA) of a relaxed structure of CeMgGe2.

Cell lengths 4.1117, 4.5425, 4.5425 Å; angles 90.00, 90.00, 90.00 degrees
Fractional positions:
Ge1 0.0000 0.0000 0.5000
Ce1 0.5000 0.0000 0.0000
Mg1 0.5000 0.5000 0.5000
Ge2 0.0000 0.5000 0.0000

Properties
- DFT formation energy: -197 kJ/mol of formula units
- SG: No. 123

---

Record 2
The following is a DFT calculation (PBE-GGA) of a relaxed structure of CaFeCo3.

Cell lengths 4.3903, 4.3903, 4.3903 Å; angles 90.00, 90.00, 90.00 degrees
Fractional positions:
Ca1 0.0000 0.0000 0.0000
Co1 0.0000 0.5000 0.0000
Co2 0.0000 0.0000 0.5000
Fe1 0.5000 0.5000 0.5000
Co3 0.5000 0.0000 0.0000

Properties
- DFT formation energy: 965 kJ/mol of formula units
- SG: No. 221

---

Record 3
The following is a DFT calculation (PBE-GGA) of a relaxed structure of Tl3InS.

Cell lengths 5.6909, 5.6909, 5.6909 Å; angles 90.00, 90.00, 90.00 degrees
Fractional positions:
S1 0.0000 0.0000 0.0000
Tl1 0.0000 0.0000 0.5000
Tl2 0.0000 0.5000 0.0000
Tl3 0.5000 0.0000 0.0000
In1 0.5000 0.5000 0.5000

Properties
- Uncorrected formation energy: 205 meV/atom
- SG: No. 221

---

Record 4
The following is a DFT calculation (PBE-GGA) of a relaxed structure of BeTc2As.

Cell lengths 3.7567, 3.7567, 8.9107 Å; angles 77.83, 77.83, 90.00 degrees
Fractional positions:
Be1 0.5000 0.5000 0.0000
As1 0.0000 0.0000 0.0000
Tc1 0.5745 0.1250 0.2500
Be2 0.2500 0.7500 0.5000
Tc2 0.3750 0.4255 0.7500
Tc3 0.1755 0.6250 0.2500
As2 0.7500 0.2500 0.5000
Tc4 0.8750 0.8245 0.7500

Properties
- DFT formation energy: 128 kJ/mol of formula units
- SG: No. 122

---

Record 5
The following is a DFT calculation (PBE-GGA) of a relaxed structure of NdPu4P5.

Cell lengths 4.0305, 5.6893, 10.6396 Å; angles 105.51, 100.92, 90.00 degrees
Fractional positions:
Pu1 0.4007 0.4007 0.8015
P1 0.8007 0.3007 0.6015
Pu2 0.7980 0.7980 0.5959
Pu3 0.5993 0.5993 0.1985
Nd1 0.0000 0.0000 0.0000
P2 0.1993 0.6993 0.3985
P3 0.3944 0.8944 0.7887
P4 0.6056 0.1056 0.2113
Pu4 0.2020 0.2020 0.4041
P5 0.0000 0.5000 0.0000

Properties
- DFT formation energy: -1143 kJ/mol of formula units
- SG: No. 71

---

Record 6
The following is a DFT calculation (PBE-GGA) of a relaxed structure of SmY3Er.

Cell lengths 5.6653, 6.3193, 9.6507 Å; angles 109.15, 90.00, 90.00 degrees
Fractional positions:
Y1 0.2500 0.6671 0.0012
Er1 0.7500 0.1310 0.5993
Y2 0.2500 0.0624 0.7974
Y3 0.2500 0.4618 0.5984
Y4 0.7500 0.5382 0.4016
Sm1 0.2500 0.2709 0.2011
Y5 0.7500 0.3329 0.9988
Er2 0.2500 0.8690 0.4007
Y6 0.7500 0.9376 0.2026
Sm2 0.7500 0.7291 0.7989

Properties
- DFT formation energy: 3 kJ/mol of formula units
- SG: No. 11

---

Record 7
The following is a DFT calculation (PBE-GGA) of a relaxed structure of Tl2AuCl.

Cell lengths 8.5049, 5.4297, 3.6510 Å; angles 90.10, 64.44, 129.65 degrees
Fractional positions:
Au1 0.0000 0.5000 0.5000
Tl1 0.0000 0.0000 0.0000
Tl2 0.5000 0.0000 0.5000
Cl1 0.5000 0.5000 0.0000

Properties
- Uncorrected formation energy: -402 meV/atom
- SG: No. 12

---

Record 8
The following is a DFT calculation (PBE-GGA) of a relaxed structure of Li3Ce3YSe8.

Cell lengths 8.3934, 8.3928, 8.0572 Å; angles 121.40, 90.00, 120.00 degrees
Fractional positions:
Se1 0.2442 0.9971 0.2502
Ce1 0.5000 0.0000 0.5000
Se2 0.2471 0.4941 0.7498
Se3 0.7532 0.5063 0.7593
Ce2 0.0000 0.5000 0.5000
Li1 0.0000 0.0000 0.0000
Se4 0.7529 0.9971 0.2502
Li2 0.5000 0.5000 0.0000
Se5 0.7558 0.0029 0.7498
Y1 0.0000 0.0000 0.5000
Se6 0.7529 0.5059 0.2502
Se7 0.2471 0.0029 0.7498
Se8 0.2468 0.4937 0.2407
Ce3 0.5000 0.5000 0.5000
Li3 0.0000 0.5000 0.0000

Properties
- Uncorrected formation energy: -1637 meV/atom
- SG: No. 166

---

Uncorrected energy? In order: -4.701 -4.356 -2.588 -6.945 -10.099 -5.729 -2.866 -5.496 eV/atom.
DOS(E_F)? In order: 0.98 1.28 0.89 0.64 3.96 1.73 0.09 0.93 states/eV per atom.
Total moment? In order: 0.00 6.90 0.00 0.00 0.04 0.00 0.00 2.01 μB/f.u..